[1]
Here is a relaxed structure of BaHSe2Br from the Alexandria database. Energies are from GGA-PBE.

Energy above the most stable polymorph in this dataset   79.5 kJ per mole of atoms
Final energy   -2.636 eV per atom
N(E_F)   2.561 states/eV/f.u.

Lattice parameters (Å, degrees): 6.6479 6.6479 6.2994 90.00 90.00 90.00
With the nearest neighbours (Å) after each atom.
Element x y z (fractional)
1 Ba 0.0000 0.0000 0.0000  2 Br 3.15, 4 Se 3.32
2 H 0.5000 0.5000 0.5000  8 Se 4.58, 4 Br 4.70
3 Se 0.0000 0.5000 0.0000  2 Ba 3.32
4 Se 0.5000 0.0000 0.0000  2 Ba 3.32
5 Br 0.0000 0.0000 0.5000  2 Ba 3.15

[2]
Here is a relaxed structure of Ba6Si2HBr3 from the Alexandria database. Energies are from GGA-PBE.

Final energy   -3.593 eV per atom
N(E_F)   1.569 states/eV/f.u.

Lattice parameters (Å, degrees): 8.1960 8.1960 8.5085 99.17 99.17 120.02
With the nearest neighbours (Å) after each atom.
Element x y z (fractional)
1 Ba 0.0877 0.4274 0.7815  2 Si 3.23, 1 H 3.30, 3 Br 3.54-3.58
2 Ba 0.2327 0.2327 0.2162  2 Si 3.23, 1 H 3.28, 3 Br 3.52-3.56
3 Ba 0.4274 0.0877 0.7815  2 Si 3.23, 1 H 3.30, 3 Br 3.54-3.58
4 Ba 0.5726 0.9123 0.2185  2 Si 3.23, 1 H 3.30, 3 Br 3.54-3.58
5 Ba 0.7673 0.7673 0.7838  2 Si 3.23, 1 H 3.28, 3 Br 3.52-3.56
6 Ba 0.9123 0.5726 0.2185  2 Si 3.23, 1 H 3.30, 3 Br 3.54-3.58
7 Si 0.1670 0.8330 0.0000  6 Ba 3.23
8 Si 0.8330 0.1670 0.0000  6 Ba 3.23
9 H 0.5000 0.5000 0.0000  6 Ba 3.28-3.30
10 Br 0.0000 0.0000 0.5000  6 Ba 3.52-3.58
11 Br 0.3357 0.6643 0.5000  6 Ba 3.54-3.57
12 Br 0.6643 0.3357 0.5000  6 Ba 3.54-3.57

[3]
Here is a relaxed structure of Ba4SiHBr2 from the Alexandria database. Energies are from GGA-PBE.

Final energy   -3.460 eV per atom
N(E_F)   4.163 states/eV/f.u.

Lattice parameters (Å, degrees): 7.7837 4.7324 8.4376 90.00 108.70 90.00
With the nearest neighbours (Å) after each atom.
Element x y z (fractional)
1 Ba 0.2447 0.0000 0.2228  1 Si 3.14, 2 H 3.24, 3 Br 3.46-3.47
2 Ba 0.2526 0.5000 0.7836  1 H 3.08, 2 Si 3.22
3 Ba 0.7474 0.5000 0.2164  1 H 3.08, 2 Si 3.22
4 Ba 0.7553 0.0000 0.7772  1 Si 3.14, 2 H 3.24, 3 Br 3.46-3.47
5 Si 0.5000 0.0000 0.0000  6 Ba 3.14-3.22
6 H 0.0000 0.5000 0.0000  6 Ba 3.08-3.24
7 Br 0.0000 0.0000 0.5000  6 Ba 3.46-3.49
8 Br 0.5000 0.5000 0.5000  6 Ba 3.47-3.52

[4]
Here is a relaxed structure of BaHf3Br from the Alexandria database. Energies are from GGA-PBE.

Energy above the most stable polymorph in this dataset   137.8 kJ per mole of atoms
Final energy   -4.610 eV per atom
Formation energy from raw total energies   2.08 eV per atom
N(E_F)   9.510 states/eV/f.u.

Lattice parameters (Å, degrees): 5.4402 5.4402 5.4402 90.00 90.00 90.00
With the nearest neighbours (Å) after each atom.
Element x y z (fractional)
1 Ba 0.0000 0.0000 0.0000  6 Hf 2.72
2 Hf 0.0000 0.0000 0.5000  2 Ba 2.72
3 Hf 0.0000 0.5000 0.0000  2 Ba 2.72
4 Hf 0.5000 0.0000 0.0000  2 Ba 2.72
5 Br 0.5000 0.5000 0.5000  12 Hf 3.85

[5]
Here is a relaxed structure of BaHf3Br from the Alexandria database. Energies are from GGA-PBE.

Energy above the most stable polymorph in this dataset   0.0 kJ per mole of atoms
Final energy   -6.038 eV per atom
Formation energy from raw total energies   0.65 eV per atom
N(E_F)   5.194 states/eV/f.u.

Lattice parameters (Å, degrees): 5.1793 5.1793 5.1793 90.00 90.00 90.00
With the nearest neighbours (Å) after each atom.
Element x y z (fractional)
1 Ba 0.0000 0.0000 0.0000  12 Hf 3.66
2 Hf 0.0000 0.5000 0.5000  2 Br 2.59
3 Hf 0.5000 0.0000 0.5000  2 Br 2.59
4 Hf 0.5000 0.5000 0.0000  2 Br 2.59
5 Br 0.5000 0.5000 0.5000  6 Hf 2.59

[6]
Here is a relaxed structure of BaHfBr6 from the Alexandria database. Energies are from GGA-PBE.

Final energy   -4.407 eV per atom
Formation energy from raw total energies   -1.67 eV per atom
N(E_F)   0.000 states/eV/f.u.

Lattice parameters (Å, degrees): 7.2155 7.2155 7.1344 97.94 97.94 116.56
With the nearest neighbours (Å) after each atom.
Element x y z (fractional)
1 Ba 0.0000 0.0000 0.0000  6 Br 3.26
2 Hf 0.5000 0.5000 0.5000  6 Br 2.61-2.63
3 Br 0.1653 0.4712 0.2699  1 Hf 2.63
4 Br 0.2498 0.2498 0.6917  1 Hf 2.61
5 Br 0.4712 0.1653 0.2699  1 Hf 2.63
6 Br 0.5288 0.8347 0.7301  1 Hf 2.63
7 Br 0.7502 0.7502 0.3083  1 Hf 2.61
8 Br 0.8347 0.5288 0.7301  1 Hf 2.63

[7]
Here is a relaxed structure of Ba2HfBr from the Alexandria database. Energies are from GGA-PBE.

Energy above the most stable polymorph in this dataset   3.9 kJ per mole of atoms
Final energy   -3.617 eV per atom
Formation energy from raw total energies   0.25 eV per atom
N(E_F)   5.747 states/eV/f.u.

Lattice parameters (Å, degrees): 6.0866 6.0866 6.0866 60.00 60.00 60.00
With the nearest neighbours (Å) after each atom.
Element x y z (fractional)
1 Ba 0.2500 0.2500 0.2500  4 Hf 3.73, 4 Br 3.73
2 Ba 0.7500 0.7500 0.7500  4 Br 3.73, 4 Hf 3.73
3 Hf 0.0000 0.0000 0.0000  8 Ba 3.73
4 Br 0.5000 0.5000 0.5000  8 Ba 3.73

[8]
Here is a relaxed structure of Ba3HfBr from the Alexandria database. Energies are from GGA-PBE.

Energy above the most stable polymorph in this dataset   0.0 kJ per mole of atoms
Final energy   -3.339 eV per atom
Formation energy from raw total energies   0.14 eV per atom
N(E_F)   6.983 states/eV/f.u.

Lattice parameters (Å, degrees): 6.2298 6.2298 6.2298 90.00 90.00 90.00
With the nearest neighbours (Å) after each atom.
Element x y z (fractional)
1 Ba 0.0000 0.0000 0.5000  2 Br 3.11
2 Ba 0.0000 0.5000 0.0000  2 Br 3.11
3 Ba 0.5000 0.0000 0.0000  2 Br 3.11
4 Hf 0.5000 0.5000 0.5000  12 Ba 4.41
5 Br 0.0000 0.0000 0.0000  6 Ba 3.11

[9]
Here is a relaxed structure of Ba2HfBr from the Alexandria database. Energies are from GGA-PBE.

Energy above the most stable polymorph in this dataset   0.0 kJ per mole of atoms
Final energy   -3.657 eV per atom
Formation energy from raw total energies   0.21 eV per atom
N(E_F)   5.625 states/eV/f.u.

Lattice parameters (Å, degrees): 7.6665 7.6665 7.6665 106.52 106.52 115.56
With the nearest neighbours (Å) after each atom.
Element x y z (fractional)
1 Ba 0.0925 0.6250 0.9675  2 Br 3.21
2 Ba 0.3750 0.3425 0.4675  2 Br 3.21
3 Ba 0.6575 0.1250 0.0325  2 Br 3.21
4 Ba 0.8750 0.9075 0.5325  2 Br 3.21
5 Hf 0.2500 0.7500 0.5000  4 Ba 3.61
6 Hf 0.5000 0.5000 0.0000  4 Ba 3.61
7 Br 0.0000 0.0000 0.0000  4 Ba 3.21
8 Br 0.7500 0.2500 0.5000  4 Ba 3.21

[10]
Here is a relaxed structure of BaHfHgBr6 from the Alexandria database. Energies are from GGA-PBE.

Final energy   -3.957 eV per atom
Formation energy from raw total energies   -1.49 eV per atom
N(E_F)   0.000 states/eV/f.u.

Lattice parameters (Å, degrees): 7.8294 7.8294 17.3321 90.00 90.00 120.00
With the nearest neighbours (Å) after each atom.
Element x y z (fractional)
1 Ba 0.3333 0.6667 0.2500  6 Br 3.25
2 Ba 0.6667 0.3333 0.7500  6 Br 3.25
3 Hf 0.3333 0.6667 0.7500  6 Br 2.63
4 Hf 0.6667 0.3333 0.2500  6 Br 2.63
5 Hg 0.0000 0.0000 0.0000  6 Br 4.02
6 Hg 0.0000 0.0000 0.5000  6 Br 4.02
7 Br 0.0594 0.3970 0.6606  1 Hf 2.63
8 Br 0.0594 0.6624 0.8394  1 Hf 2.63
9 Br 0.3376 0.3970 0.8394  1 Hf 2.63
10 Br 0.3376 0.9406 0.6606  1 Hf 2.63
11 Br 0.3970 0.0594 0.1606  1 Hf 2.63
12 Br 0.3970 0.3376 0.3394  1 Hf 2.63
13 Br 0.6030 0.6624 0.6606  1 Hf 2.63
14 Br 0.6030 0.9406 0.8394  1 Hf 2.63
15 Br 0.6624 0.0594 0.3394  1 Hf 2.63
16 Br 0.6624 0.6030 0.1606  1 Hf 2.63
17 Br 0.9406 0.3376 0.1606  1 Hf 2.63
18 Br 0.9406 0.6030 0.3394  1 Hf 2.63

[11]
Here is a relaxed structure of BaHfIBr2 from the Alexandria database. Energies are from GGA-PBE.

Final energy   -2.860 eV per atom
Formation energy from raw total energies   0.49 eV per atom
N(E_F)   4.485 states/eV/f.u.

Lattice parameters (Å, degrees): 6.6536 6.6536 6.2200 90.00 90.00 90.00
With the nearest neighbours (Å) after each atom.
Element x y z (fractional)
1 Ba 0.0000 0.0000 0.0000  2 I 3.11
2 Hf 0.5000 0.5000 0.0000  8 Br 4.55, 4 Ba 4.70
3 I 0.0000 0.0000 0.5000  2 Ba 3.11, 4 Br 3.33
4 Br 0.0000 0.5000 0.5000  2 I 3.33
5 Br 0.5000 0.0000 0.5000  2 I 3.33

[12]
Here is a relaxed structure of Ba2HfPbBr from the Alexandria database. Energies are from GGA-PBE.

Final energy   -3.804 eV per atom
Formation energy from raw total energies   0.03 eV per atom
N(E_F)   3.591 states/eV/f.u.

Lattice parameters (Å, degrees): 6.8476 6.8476 5.4850 90.00 90.00 90.00
With the nearest neighbours (Å) after each atom.
Element x y z (fractional)
1 Ba 0.0000 0.5000 0.0000  2 Pb 3.42
2 Ba 0.5000 0.0000 0.0000  2 Pb 3.42
3 Hf 0.0000 0.0000 0.5000  2 Pb 2.74
4 Pb 0.0000 0.0000 0.0000  2 Hf 2.74
5 Br 0.5000 0.5000 0.5000  8 Ba 4.39, 4 Hf 4.84